VASP calculation (PBE) on crystalline Zn3Bi2O7 at its relaxed geometry.

Properties
uncorrected formation energy	-1.13	eV/atom
calculated volume	13.09	Å³/atom
DOS at the Fermi energy	14.38	states/eV per cell

The structure in CIF format:
```
data_Zn3Bi2O7
_chemical_formula_sum 'Zn12 Bi8 O28'
_cell_length_a 19.945
_cell_length_b 5.668
_cell_length_c 5.559
_cell_angle_alpha 90.00
_cell_angle_beta 90.00
_cell_angle_gamma 90.00
_space_group_name_H-M_alt 'C m c 21'
_space_group_IT_number 36
_space_group_name_Hall 'C 2c -2'
loop_
_atom_site_label
_atom_site_type_symbol
_atom_site_fract_x
_atom_site_fract_y
_atom_site_fract_z
Zn1 Zn 0.000 0.245 0.000
Zn2 Zn 0.210 0.298 0.962
Bi1 Bi 0.104 0.237 0.494
O1 O 0.000 0.093 0.332
O2 O 0.075 0.415 0.837
O3 O 0.147 0.098 0.157
O4 O 0.208 0.367 0.598
```

VASP calculation (PBE) on crystalline CdF at its relaxed geometry.

Properties
uncorrected formation energy	-1.23	eV/atom
calculated volume	26.21	Å³/atom
DOS at the Fermi energy	7.44	states/eV per cell

The structure in CIF format:
```
data_CdF
_chemical_formula_sum 'Cd8 F8'
_cell_length_a 7.485
_cell_length_b 7.485
_cell_length_c 7.485
_cell_angle_alpha 90.00
_cell_angle_beta 90.00
_cell_angle_gamma 90.00
_space_group_name_H-M_alt 'I -4 3 m'
_space_group_IT_number 217
_space_group_name_Hall 'I -4 2 3'
loop_
_atom_site_label
_atom_site_type_symbol
_atom_site_fract_x
_atom_site_fract_y
_atom_site_fract_z
Cd1 Cd 0.173 0.173 0.827
F1 F 0.148 0.148 0.148
```

VASP calculation (PBE) on crystalline BPdPt4 at its relaxed geometry.

Properties
E above lowest polymorph	0.000	eV/atom
calculated volume	14.79	Å³/atom
DOS at the Fermi energy	22.48	states/eV per cell

The structure in CIF format:
```
data_BPdPt4
_chemical_formula_sum 'B4 Pd4 Pt16'
_cell_length_a 6.046
_cell_length_b 9.229
_cell_length_c 6.368
_cell_angle_alpha 90.00
_cell_angle_beta 92.87
_cell_angle_gamma 90.00
_space_group_name_H-M_alt 'C 1 2/c 1'
_space_group_IT_number 15
_space_group_name_Hall '-C 2yc'
loop_
_atom_site_label
_atom_site_type_symbol
_atom_site_fract_x
_atom_site_fract_y
_atom_site_fract_z
B1 B 0.000 0.046 0.250
Pd1 Pd 0.000 0.376 0.250
Pt1 Pt 0.102 0.134 0.951
Pt2 Pt 0.192 0.361 0.649
```

VASP calculation (PBE) on crystalline CsBi3Rh at its relaxed geometry.

Properties
E above lowest polymorph	2.258	eV/atom
calculated volume	47.11	Å³/atom
DOS at the Fermi energy	10.05	states/eV per cell

The structure in CIF format:
```
data_CsBi3Rh
_chemical_formula_sum 'Cs1 Bi3 Rh1'
_cell_length_a 6.176
_cell_length_b 6.176
_cell_length_c 6.176
_cell_angle_alpha 90.00
_cell_angle_beta 90.00
_cell_angle_gamma 90.00
_space_group_name_H-M_alt 'P m -3 m'
_space_group_IT_number 221
_space_group_name_Hall '-P 4 2 3'
loop_
_atom_site_label
_atom_site_type_symbol
_atom_site_fract_x
_atom_site_fract_y
_atom_site_fract_z
Cs1 Cs 0.000 0.000 0.000
Bi1 Bi 0.000 0.000 0.500
Rh1 Rh 0.500 0.500 0.500
```

VASP calculation (PBE) on crystalline NaPaBi at its relaxed geometry.

Properties
E above lowest polymorph	0.298	eV/atom
calculated volume	29.79	Å³/atom
DOS at the Fermi energy	10.29	states/eV per cell

The structure in CIF format:
```
data_NaPaBi
_chemical_formula_sum 'Na2 Pa2 Bi2'
_cell_length_a 3.272
_cell_length_b 3.272
_cell_length_c 16.693
_cell_angle_alpha 90.00
_cell_angle_beta 90.00
_cell_angle_gamma 90.00
_space_group_name_H-M_alt 'I 4 m m'
_space_group_IT_number 107
_space_group_name_Hall 'I 4 -2'
loop_
_atom_site_label
_atom_site_type_symbol
_atom_site_fract_x
_atom_site_fract_y
_atom_site_fract_z
Na1 Na 0.000 0.000 0.000
Pa1 Pa 0.000 0.000 0.686
Bi1 Bi 0.000 0.000 0.334
```

VASP calculation (PBE) on crystalline Sm4HoTm3Se8 at its relaxed geometry.

Properties
uncorrected formation energy	-1.75	eV/atom
calculated volume	24.39	Å³/atom
DOS at the Fermi energy	26.88	states/eV per cell

The structure in CIF format:
```
data_Sm4HoTm3Se8
_chemical_formula_sum 'Sm12 Ho3 Tm9 Se24'
_cell_length_a 8.1120
_cell_length_b 8.1120
_cell_length_c 20.5440
_cell_angle_alpha 90.00
_cell_angle_beta 90.00
_cell_angle_gamma 120.00
_space_group_name_H-M_alt 'R -3 m'
_space_group_IT_number 166
_space_group_name_Hall '-R 3 2"'
loop_
_atom_site_label
_atom_site_type_symbol
_atom_site_fract_x
_atom_site_fract_y
_atom_site_fract_z
Sm1 Sm 0.0000 0.0000 0.0000
Sm2 Sm 0.0000 0.5000 0.0000
Ho1 Ho 0.0000 0.0000 0.5000
Tm1 Tm 0.0000 0.5000 0.5000
Se1 Se 0.0000 0.0000 0.2447
Se2 Se 0.0017 0.5009 0.7549
```